SmAl3Cu: relaxed, PBE-GGA.

Computed properties:
V	94	Å³ per cell
total moment	0.01	μB per cell
DFT total energy	-21.997	eV/cell
crystal system	tetragonal

Lattice parameters (Å, degrees): 6.1207 6.1207 6.1207 140.10 140.10 57.71
With the nearest neighbours (Å) after each atom.
Element x y z (fractional)
Sm (0.0000, 0.0000, 0.0000)  12 Al 3.12-3.40, 4 Cu 3.26
Al (0.2494, 0.7494, 0.5000)  2 Cu 2.46, 2 Al 2.69
Al (0.4077, 0.4077, 0.0000)  1 Cu 2.36
Al (0.7494, 0.2494, 0.5000)  2 Cu 2.46, 2 Al 2.69
Cu (0.6277, 0.6277, 0.0000)  5 Al 2.36-2.46